DFT (meta-GGA SCAN) results for a crystal of As3Pb5O12F relaxed with PBEsol.

Geometry as CIF:
```
data_As3Pb5O12F
_cell_length_a 10.1365
_cell_length_b 10.1365
_cell_length_c 7.4659
_cell_angle_alpha 90.00
_cell_angle_beta 90.00
_cell_angle_gamma 120.00
_symmetry_space_group_name_H-M 'P 63/m'
_symmetry_Int_Tables_number 176
_symmetry_space_group_name_Hall '-P 6c'
loop_
_atom_site_label
_atom_site_type_symbol
_atom_site_fract_x
_atom_site_fract_y
_atom_site_fract_z
As1 As 0.0290 0.4014 0.2500
Pb1 Pb 0.0036 0.7575 0.2500
Pb2 Pb 0.3333 0.6667 0.5036
O1 O 0.0932 0.3461 0.0679
O2 O 0.1231 0.5981 0.2500
O3 O 0.1640 0.6722 0.7500
F1 F 0.0000 0.0000 0.2500
```

* raw formation energy: -31.319 eV per formula unit
* total magnetic moment: 0.000 μB/cell
* final energy: -1.922 Ry/atom

***

DFT (meta-GGA SCAN) results for a crystal of RbAsOF4 relaxed with PBEsol.

Geometry as CIF:
```
data_RbAsOF4
_cell_length_a 5.0434
_cell_length_b 6.1728
_cell_length_c 13.7641
_cell_angle_alpha 90.00
_cell_angle_beta 98.09
_cell_angle_gamma 90.00
_symmetry_space_group_name_H-M 'P 1 21/c 1'
_symmetry_Int_Tables_number 14
loop_
_symmetry_equiv_pos_as_xyz
'x,y,z'
'-x,-y,-z'
'-x,y+1/2,-z+1/2'
'x,-y+1/2,z+1/2'
loop_
_atom_site_label
_atom_site_type_symbol
_atom_site_fract_x
_atom_site_fract_y
_atom_site_fract_z
Rb1 Rb 0.0973 0.1267 0.1546
As1 As 0.4714 0.6134 0.0814
O1 O 0.2945 0.0994 0.5071
F1 F 0.2305 0.6116 0.1643
F2 F 0.2817 0.6707 0.5188
F3 F 0.3410 0.1827 0.8477
F4 F 0.3452 0.5798 0.8367
```

* raw formation energy: -16.694 eV per formula unit
* total magnetic moment: 0.007 μB/cell
* final energy: -0.819 Ry/atom

***

DFT (meta-GGA SCAN) results for a crystal of Sr2Ti2As2OF2 relaxed with PBEsol.

Geometry as CIF:
```
data_Sr2Ti2As2OF2
_cell_length_a 4.0103
_cell_length_b 4.0103
_cell_length_c 19.3489
_cell_angle_alpha 90.00
_cell_angle_beta 90.00
_cell_angle_gamma 90.00
_symmetry_space_group_name_H-M 'I 4/m m m'
_symmetry_Int_Tables_number 139
_symmetry_space_group_name_Hall '-I 4 2'
loop_
_atom_site_label
_atom_site_type_symbol
_atom_site_fract_x
_atom_site_fract_y
_atom_site_fract_z
Sr1 Sr 0.0000 0.0000 0.1768
Ti1 Ti 0.0000 0.5000 0.0000
As1 As 0.0000 0.0000 0.4077
O1 O 0.0000 0.0000 0.0000
F1 F 0.0000 0.5000 0.2500
```

* raw formation energy: -23.316 eV per formula unit
* total magnetic moment: 0.002 μB/cell
* final energy: -1.255 Ry/atom

***

DFT (meta-GGA SCAN) results for a crystal of TeAsOF2 relaxed with PBEsol.

Geometry as CIF:
```
data_TeAsOF2
_cell_length_a 4.0838
_cell_length_b 4.0838
_cell_length_c 4.4692
_cell_angle_alpha 90.00
_cell_angle_beta 90.00
_cell_angle_gamma 90.00
_symmetry_space_group_name_H-M 'P 4/m m m'
_symmetry_Int_Tables_number 123
_symmetry_space_group_name_Hall '-P 4 2'
loop_
_atom_site_label
_atom_site_type_symbol
_atom_site_fract_x
_atom_site_fract_y
_atom_site_fract_z
Te1 Te 0.0000 0.0000 0.0000
As1 As 0.5000 0.5000 0.5000
O1 O 0.5000 0.5000 0.0000
F1 F 0.0000 0.5000 0.5000
```

* raw formation energy: -3.285 eV per formula unit
* total magnetic moment: 0.716 μB/cell
* final energy: -1.088 Ry/atom

***

DFT (meta-GGA SCAN) results for a crystal of ZrAsO2F relaxed with PBEsol.

Geometry as CIF:
```
data_ZrAsO2F
_cell_length_a 4.0699
_cell_length_b 4.0699
_cell_length_c 4.0459
_cell_angle_alpha 90.00
_cell_angle_beta 90.00
_cell_angle_gamma 90.00
_symmetry_space_group_name_H-M 'P 4/m m m'
_symmetry_Int_Tables_number 123
_symmetry_space_group_name_Hall '-P 4 2'
loop_
_atom_site_label
_atom_site_type_symbol
_atom_site_fract_x
_atom_site_fract_y
_atom_site_fract_z
Zr1 Zr 0.0000 0.0000 0.0000
As1 As 0.5000 0.5000 0.5000
O1 O 0.0000 0.5000 0.5000
F1 F 0.5000 0.5000 0.0000
```

* raw formation energy: -4.944 eV per formula unit
* total magnetic moment: 1.977 μB/cell
* final energy: -1.056 Ry/atom

***

DFT (meta-GGA SCAN) results for a crystal of ZrAs2OF relaxed with PBEsol.

Geometry as CIF:
```
data_ZrAs2OF
_cell_length_a 4.3073
_cell_length_b 4.3073
_cell_length_c 4.2758
_cell_angle_alpha 90.00
_cell_angle_beta 90.00
_cell_angle_gamma 90.00
_symmetry_space_group_name_H-M 'P 4/m m m'
_symmetry_Int_Tables_number 123
_symmetry_space_group_name_Hall '-P 4 2'
loop_
_atom_site_label
_atom_site_type_symbol
_atom_site_fract_x
_atom_site_fract_y
_atom_site_fract_z
Zr1 Zr 0.0000 0.0000 0.0000
As1 As 0.0000 0.5000 0.5000
O1 O 0.0000 0.0000 0.5000
F1 F 0.5000 0.5000 0.0000
```

* raw formation energy: -3.336 eV per formula unit
* total magnetic moment: 0.000 μB/cell
* final energy: -1.238 Ry/atom

***

DFT (meta-GGA SCAN) results for a crystal of AsOs3F relaxed with PBEsol.

Geometry as CIF:
```
data_AsOs3F
_cell_length_a 4.1982
_cell_length_b 4.1982
_cell_length_c 4.1982
_cell_angle_alpha 90.00
_cell_angle_beta 90.00
_cell_angle_gamma 90.00
_symmetry_space_group_name_H-M 'P m -3 m'
_symmetry_Int_Tables_number 221
_symmetry_space_group_name_Hall '-P 4 2 3'
loop_
_atom_site_label
_atom_site_type_symbol
_atom_site_fract_x
_atom_site_fract_y
_atom_site_fract_z
As1 As 0.0000 0.0000 0.0000
Os1 Os 0.0000 0.5000 0.5000
F1 F 0.5000 0.5000 0.5000
```

* raw formation energy: 9.930 eV per formula unit
* total magnetic moment: 0.001 μB/cell
* final energy: -3.373 Ry/atom

***

DFT (meta-GGA SCAN) results for a crystal of As2PbF2 relaxed with PBEsol.

Geometry as CIF:
```
data_As2PbF2
_cell_length_a 3.4622
_cell_length_b 3.4622
_cell_length_c 16.8667
_cell_angle_alpha 90.00
_cell_angle_beta 90.00
_cell_angle_gamma 90.00
_symmetry_space_group_name_H-M 'I 4/m m m'
_symmetry_Int_Tables_number 139
_symmetry_space_group_name_Hall '-I 4 2'
loop_
_atom_site_label
_atom_site_type_symbol
_atom_site_fract_x
_atom_site_fract_y
_atom_site_fract_z
As1 As 0.0000 0.5000 0.2500
Pb1 Pb 0.0000 0.0000 0.0000
F1 F 0.0000 0.0000 0.4291
```

* raw formation energy: -4.562 eV per formula unit
* total magnetic moment: 0.000 μB/cell
* final energy: -1.879 Ry/atom

***

Copy entry 8 word for word.
DFT (meta-GGA SCAN) results for a crystal of As2PbF2 relaxed with PBEsol.

Geometry as CIF:
```
data_As2PbF2
_cell_length_a 3.4622
_cell_length_b 3.4622
_cell_length_c 16.8667
_cell_angle_alpha 90.00
_cell_angle_beta 90.00
_cell_angle_gamma 90.00
_symmetry_space_group_name_H-M 'I 4/m m m'
_symmetry_Int_Tables_number 139
_symmetry_space_group_name_Hall '-I 4 2'
loop_
_atom_site_label
_atom_site_type_symbol
_atom_site_fract_x
_atom_site_fract_y
_atom_site_fract_z
As1 As 0.0000 0.5000 0.2500
Pb1 Pb 0.0000 0.0000 0.0000
F1 F 0.0000 0.0000 0.4291
```

* raw formation energy: -4.562 eV per formula unit
* total magnetic moment: 0.000 μB/cell
* final energy: -1.879 Ry/atom

***

Question: Look up the raw formation energy of the third one.
Answer: -23.316 eV per formula unit

***

Question: What is the raw formation energy in the fifth record?
Answer: -4.944 eV per formula unit

***

Question: Among the records above, which one has the highest final energy?
Answer: RbAsOF4